1.
# Cs3Tb3MnSe8 PBE-GGA optimized geometry
data_Cs3Tb3MnSe8
_chemical_formula_sum 'Cs9 Tb9 Mn3 Se24'
_space_group_name_H-M_alt 'R -3 m'
_space_group_IT_number 166
_space_group_name_Hall '-R 3 2"'
_cell_length_a 8.2705
_cell_length_b 8.2705
_cell_length_c 25.6238
_cell_angle_alpha 90.00
_cell_angle_beta 90.00
_cell_angle_gamma 120.00
loop_
_atom_site_label
_atom_site_type_symbol
_atom_site_fract_x
_atom_site_fract_y
_atom_site_fract_z
Cs1 Cs 0.0000 0.5000 0.0000
Tb1 Tb 0.0000 0.5000 0.5000
Mn1 Mn 0.0000 0.0000 0.5000
Se1 Se 0.0000 0.0000 0.2292
Se2 Se 0.0325 0.5162 0.2239
# energy relative to the elements, uncorrected	-1.414	eV/atom
# volume	505.92	Å³/f.u.
# E_tot	-0.183	Ha/atom

---

2.
# CsTbMnSe4 PBE-GGA optimized geometry
data_CsTbMnSe4
_chemical_formula_sum 'Cs2 Tb2 Mn2 Se8'
_space_group_name_H-M_alt 'P 1 21/m 1'
_space_group_IT_number 11
_cell_length_a 6.7038
_cell_length_b 6.7529
_cell_length_c 9.9787
_cell_angle_alpha 90.00
_cell_angle_beta 108.76
_cell_angle_gamma 90.00
loop_
_space_group_symop_operation_xyz
'x,y,z'
'-x,-y,-z'
'-x,y+1/2,-z'
'x,-y+1/2,z'
loop_
_atom_site_label
_atom_site_type_symbol
_atom_site_fract_x
_atom_site_fract_y
_atom_site_fract_z
Cs1 Cs 0.2453 0.2500 0.4418
Tb1 Tb 0.2685 0.2500 0.9531
Mn1 Mn 0.2792 0.7500 0.1650
Se1 Se 0.0761 0.7500 0.3132
Se2 Se 0.0833 0.7500 0.9293
Se3 Se 0.4783 0.5083 0.8019
# energy relative to the elements, uncorrected	-1.099	eV/atom
# volume	213.87	Å³/f.u.
# E_tot	-0.191	Ha/atom

---

3.
# CsTbMnSe3 PBE-GGA optimized geometry
data_CsTbMnSe3
_chemical_formula_sum 'Cs4 Tb4 Mn4 Se12'
_space_group_name_H-M_alt 'C m c m'
_space_group_IT_number 63
_space_group_name_Hall '-C 2c 2'
_cell_length_a 4.2468
_cell_length_b 16.2341
_cell_length_c 11.1296
_cell_angle_alpha 90.00
_cell_angle_beta 90.00
_cell_angle_gamma 90.00
loop_
_atom_site_label
_atom_site_type_symbol
_atom_site_fract_x
_atom_site_fract_y
_atom_site_fract_z
Cs1 Cs 0.0000 0.2420 0.2500
Tb1 Tb 0.0000 0.5000 0.0000
Mn1 Mn 0.0000 0.0366 0.7500
Se1 Se 0.0000 0.1158 0.5588
Se2 Se 0.0000 0.4452 0.7500
# energy above the lowest structure with this stoichiometry	0	meV per atom
# energy relative to the elements, uncorrected	-1.347	eV/atom
# volume	191.83	Å³/f.u.
# E_tot	-0.203	Ha/atom

---

4.
# CsTiMnSe3 PBE-GGA optimized geometry
data_CsTiMnSe3
_chemical_formula_sum 'Cs2 Ti2 Mn2 Se6'
_space_group_name_H-M_alt 'P 1 21/m 1'
_space_group_IT_number 11
_cell_length_a 9.2800
_cell_length_b 3.9233
_cell_length_c 10.2396
_cell_angle_alpha 90.00
_cell_angle_beta 116.94
_cell_angle_gamma 90.00
loop_
_space_group_symop_operation_xyz
'x,y,z'
'-x,-y,-z'
'-x,y+1/2,-z'
'x,-y+1/2,z'
loop_
_atom_site_label
_atom_site_type_symbol
_atom_site_fract_x
_atom_site_fract_y
_atom_site_fract_z
Cs1 Cs 0.2306 0.2500 0.2583
Ti1 Ti 0.3371 0.7500 0.8649
Mn1 Mn 0.0878 0.2500 0.6189
Se1 Se 0.1429 0.2500 0.8731
Se2 Se 0.2201 0.7500 0.5646
Se3 Se 0.4782 0.7500 0.1447
# energy relative to the elements, uncorrected	-0.973	eV/atom
# volume	166.17	Å³/f.u.
# E_tot	-0.210	Ha/atom